1.
{"formula": "Tl2AgHg", "functional": "meta-GGA SCAN", "state": "single point on PBEsol structure", "lattice": [[3.3105, 0.0000, 0.0000], [1.6552, 2.8670, 0.0000], [1.6552, 0.9557, 9.9790]], "species": ["Hg", "Tl", "Tl", "Ag"], "frac_coords": [[0.2418, 0.2418, 0.2745], [0.9962, 0.9962, 0.0114], [0.7590, 0.7590, 0.7230], [0.5030, 0.5030, 0.4910]], "spacegroup": "R3m (160)", "delta_e_f_ev_per_atom": 0.088}



2.
{"formula": "CoSiAs2", "functional": "meta-GGA SCAN", "state": "single point on PBEsol structure", "lattice": [[-0.4477, -3.2330, 0.8224], [2.2656, 0.6192, -3.2206], [3.4273, 0.6314, 4.3481]], "species": ["Si", "As", "As", "Co"], "frac_coords": [[0.7767, 0.5534, 0.3359], [0.2425, 0.4850, 0.6651], [0.9800, 0.9601, 0.0765], [0.5007, 0.0015, 0.4225]], "formation_energy_uncorrected_ev_per_atom": 0.078, "spacegroup": "Cm (8)"}